Density functional theory data (PBE) for crystalline Nd2YIrO6 at its relaxed geometry.

Structure (POSCAR):
```
Nd2YIrO6
1.0
-0.9067 3.1753 -4.6083
-1.7655 -5.4437 -0.0052
-3.0946 1.0252 4.7853
O Ir Nd Y
6 1 2 1
Cartesian
-2.7050 0.9357 1.6217
-3.0619 -2.1790 -1.4499
-1.7935 -3.9329 0.5489
-3.5520 -1.8768 1.5149
-2.2149 0.6335 -1.3430
-3.9734 2.6897 -0.3771
-2.0007 2.1002 0.0885
-4.4384 -0.2087 -1.1326
-1.3285 -1.0346 1.3044
-1.3361 -1.1342 -2.3067
```

Computed properties:
The calculation puts the final energy at -8.054 eV per atom. As for the energy above the lowest structure with this stoichiometry: 45 meV/atom. The space-group type is P-1, No. 2.



Density functional theory data (PBE) for crystalline Nd2P2IrOsS2 at its relaxed geometry.

Structure (POSCAR):
```
Nd2P2IrOsS2
1.0
4.1577 0.0000 0.0000
0.0000 4.1577 0.0000
0.0000 0.0000 9.0800
S Os P Nd Ir
2 1 2 2 1
Cartesian
2.0789 2.0789 4.5400
0.0000 0.0000 4.5400
2.0789 2.0789 0.0000
0.0000 2.0789 1.2099
2.0789 0.0000 7.8701
0.0000 2.0789 6.3653
2.0789 0.0000 2.7147
0.0000 0.0000 0.0000
```

Computed properties:
The calculation puts the final energy at -7.124 eV per atom. The space-group type is P-4m2, No. 115.



Density functional theory data (PBE) for crystalline Nd2P2IrOsSe2 at its relaxed geometry.

Structure (POSCAR):
```
Nd2P2IrOsSe2
1.0
-2.1882 -2.8018 -1.9576
-0.5310 -2.0176 3.4811
-8.1113 5.1242 1.7327
Nd Ir Os Se P
2 1 1 2 2
Cartesian
-6.2539 2.7743 3.0198
-3.2169 -0.0598 -0.5253
0.0000 0.0000 0.0000
-1.3596 -2.4097 0.7617
-5.4152 0.1524 1.6281
-4.0556 2.5621 0.8664
-8.1375 3.0487 0.5258
-1.3333 -0.3342 1.9687
```

Computed properties:
The calculation puts the final energy at -6.918 eV per atom. The space-group type is P-4m2, No. 115.



Density functional theory data (PBE) for crystalline NdP2Ir5 at its relaxed geometry.

Structure (POSCAR):
```
NdP2Ir5
1.0
-1.9891 3.4381 4.6887
1.9891 -3.4381 4.6887
1.9891 3.4381 -4.6887
Ir P Nd
5 2 1
Cartesian
1.9891 2.0403 -1.3880
0.0000 1.3977 6.0766
0.0000 3.4381 0.0000
1.9891 2.0403 1.3880
0.0000 1.3977 3.3007
1.9891 0.0000 2.3749
0.0000 3.4381 2.3138
0.0000 0.0000 0.0000
```

Computed properties:
The calculation puts the final energy at -8.131 eV per atom. The space-group type is Immm, No. 71.



Density functional theory data (PBE) for crystalline PrNdP2Ir2S2 at its relaxed geometry.

Structure (POSCAR):
```
PrNdP2Ir2S2
1.0
-4.2691 0.0104 -0.3635
0.2547 -2.9710 -3.0767
-0.5393 -6.4145 6.1496
Ir S P Nd Pr
2 2 2 1 1
Cartesian
-0.1418 -4.6870 1.5310
-2.4037 -3.1963 2.8875
0.1263 -1.4983 -1.5261
-2.1356 -0.0076 -0.1695
-2.2068 -3.8549 0.5564
-0.3388 -4.0292 3.8628
-0.1048 -1.2463 1.1948
-2.4414 -6.6452 3.2315
```

Computed properties:
The calculation puts the final energy at -6.833 eV per atom. The space-group type is P4mm, No. 99.



Density functional theory data (PBE) for crystalline NdSnPIr2 at its relaxed geometry.

Structure (POSCAR):
```
NdSnPIr2
1.0
-2.8554 -3.2539 0.6976
0.6189 -1.4223 -4.1015
7.5743 -5.9587 3.2092
Ir Nd Sn P
4 2 2 2
Cartesian
1.6488 -4.0472 1.6523
4.8073 -4.2496 -0.1450
0.0000 0.0000 0.0000
-1.1183 -2.3381 -1.7020
2.3958 -2.3525 -1.1667
4.0602 -5.9443 2.6740
-0.3354 -2.4863 0.8116
6.7914 -5.8105 0.6957
2.6689 -5.3175 -0.0973
3.7872 -2.9794 1.6046
```

Computed properties:
The calculation puts the final energy at -7.165 eV per atom. The space-group type is P4/nmm, No. 129.



Density functional theory data (PBE) for crystalline Nd5Pa2Ir at its relaxed geometry.

Structure (POSCAR):
```
Nd5Pa2Ir
1.0
-1.8754 -3.4123 -6.2262
7.0658 -1.5281 -1.2908
-0.5075 -4.6100 2.6794
Nd Pa Ir
5 2 1
Cartesian
4.6765 -2.0316 -2.6097
1.3870 -1.3202 -2.0087
-0.2538 -2.3050 1.3397
0.5138 -2.9088 -4.9074
3.8034 -3.6202 -5.5083
3.2791 -3.0691 0.6943
-1.1915 -4.0112 -1.7734
0.0000 0.0000 0.0000
```

Computed properties:
The calculation puts the final energy at -5.872 eV per atom. Its formation enthalpy at 0 K is 4.7 eV per formula unit. The space-group type is P4/mmm, No. 123.



Density functional theory data (PBE) for crystalline NdIr2Pb2 at its relaxed geometry.

Structure (POSCAR):
```
NdIr2Pb2
1.0
1.4387 5.2604 3.9144
0.6433 6.2955 -2.2397
-4.1120 -5.2940 -0.3590
Pb Nd Ir
2 1 2
Cartesian
1.2986 7.2080 1.0446
0.7833 4.3479 0.6301
0.0000 0.0000 0.0000
-1.2139 3.3897 -0.8807
-0.8162 2.8722 2.1964
```

Computed properties:
The calculation puts the final energy at -5.947 eV per atom. The space-group type is I4/mmm, No. 139.